Record 1
Computed, not measured: LaOs2Ru after structural relaxation at the PBEsol level of DFT.

Results
Total magnetization (μB/f.u.): 0.00
Formation energy from the elements (eV per atom): 0.698
VASP energy (eV per atom): -9.289

Cell lengths 4.018, 4.018, 4.206 Å; angles 90.00, 90.00, 90.00 degrees
Fractional positions:
1 La 0.000 0.000 0.000
2 Os 0.000 0.500 0.500
3 Os 0.500 0.000 0.500
4 Ru 0.500 0.500 0.000



Record 2
Computed, not measured: La2Tc after structural relaxation at the PBEsol level of DFT.

Results
Total magnetization (μB/f.u.): 0.00
Distance to the lowest polymorph of the same formula (meV per atom): 0
Formation energy from the elements (eV per atom): 0.136
VASP energy (eV per atom): -7.183

Cell lengths 7.305, 7.305, 3.463 Å; angles 102.77, 102.77, 27.43 degrees
Fractional positions:
1 La 0.124 0.124 0.125
2 La 0.876 0.876 0.875
3 Tc 0.500 0.500 0.500



Record 3
Computed, not measured: Li2BiPd after structural relaxation at the PBEsol level of DFT.

Results
Total magnetization (μB/f.u.): 0.00
Formation energy from the elements (eV per atom): -0.215
VASP energy (eV per atom): -3.759

Cell lengths 5.946, 5.946, 5.946 Å; angles 101.76, 101.76, 126.33 degrees
Fractional positions:
1 Li 0.086 0.625 0.961
2 Li 0.375 0.336 0.461
3 Li 0.664 0.125 0.039
4 Li 0.875 0.914 0.539
5 Bi 0.250 0.750 0.500
6 Bi 0.500 0.500 0.000
7 Pd 0.000 0.000 0.000
8 Pd 0.750 0.250 0.500



Record 4
Computed, not measured: CuGeAs2 after structural relaxation at the PBEsol level of DFT.

Results
Total magnetization (μB/f.u.): 0.00
Formation energy from the elements (eV per atom): 0.034
VASP energy (eV per atom): -4.838

Cell lengths 6.723, 6.723, 6.723 Å; angles 131.18, 131.18, 71.52 degrees
Fractional positions:
1 Cu 0.000 0.000 0.000
2 Cu 0.750 0.250 0.500
3 Ge 0.250 0.750 0.500
4 Ge 0.500 0.500 0.000
5 As 0.106 0.625 0.981
6 As 0.375 0.356 0.481
7 As 0.644 0.125 0.019
8 As 0.875 0.894 0.519



Record 5
Computed, not measured: TcSb2Se after structural relaxation at the PBEsol level of DFT.

Results
Total magnetization (μB/f.u.): 0.00
VASP energy (eV per atom): -5.552
Energy relative to the elements, uncorrected (kJ/mol of formula units): 195

Cell lengths 7.394, 7.394, 7.394 Å; angles 130.24, 130.24, 73.03 degrees
Fractional positions:
1 Tc 0.000 0.000 0.000
2 Tc 0.750 0.250 0.500
3 Sb 0.082 0.625 0.957
4 Sb 0.375 0.332 0.457
5 Sb 0.668 0.125 0.043
6 Sb 0.875 0.918 0.543
7 Se 0.250 0.750 0.500
8 Se 0.500 0.500 0.000



Record 6
Computed, not measured: K2Hg2Bi after structural relaxation at the PBEsol level of DFT.

Results
Total magnetization (μB/f.u.): 0.00
Distance to the lowest polymorph of the same formula (meV per atom): 62
Formation energy from the elements (eV per atom): -0.200
VASP energy (eV per atom): -1.737

Cell lengths 6.361, 6.361, 6.361 Å; angles 117.92, 117.92, 93.64 degrees
Fractional positions:
1 K 0.250 0.750 0.500
2 K 0.750 0.250 0.500
3 Hg 0.161 0.161 0.000
4 Hg 0.839 0.839 0.000
5 Bi 0.500 0.500 0.000



Record 7
Computed, not measured: BeReCl2 after structural relaxation at the PBEsol level of DFT.

Results
Total magnetization (μB/f.u.): 0.00
Distance to the lowest polymorph of the same formula (meV per atom): 541
VASP energy (eV per atom): -4.744
Energy relative to the elements, uncorrected (kJ/mol of formula units): 229

Cell lengths 2.827, 4.028, 5.390 Å; angles 90.00, 104.64, 90.00 degrees
Fractional positions:
1 Be 0.000 0.000 0.000
2 Re 0.000 0.000 0.500
3 Cl 0.149 0.500 0.755
4 Cl 0.851 0.500 0.245



Record 8
Computed, not measured: LiTm2Os after structural relaxation at the PBEsol level of DFT.

Results
Total magnetization (μB/f.u.): 0.00
Formation energy from the elements (eV per atom): -0.281
VASP energy (eV per atom): -6.276

Cell lengths 4.766, 4.766, 4.766 Å; angles 60.00, 60.00, 60.00 degrees
Fractional positions:
1 Li 0.000 0.000 0.000
2 Tm 0.250 0.250 0.250
3 Tm 0.750 0.750 0.750
4 Os 0.500 0.500 0.500



What did the second record say?
Computed, not measured: La2Tc after structural relaxation at the PBEsol level of DFT.

Results
Total magnetization (μB/f.u.): 0.00
Distance to the lowest polymorph of the same formula (meV per atom): 0
Formation energy from the elements (eV per atom): 0.136
VASP energy (eV per atom): -7.183

Cell lengths 7.305, 7.305, 3.463 Å; angles 102.77, 102.77, 27.43 degrees
Fractional positions:
1 La 0.124 0.124 0.125
2 La 0.876 0.876 0.875
3 Tc 0.500 0.500 0.500



Question: The lowest VASP energy belongs to which entry?
Answer: LaOs2Ru



Question: total magnetization of number 3 (Li2BiPd)?
Answer: 0.00 μB/f.u.



Question: Which value of VASP energy does entry 1 give?
Answer: -9.289 eV per atom